Here is LiSn4Pb after structural relaxation from Alexandria via LeMat-Bulk. Energies are from PBE-GGA.

Cell: 8.8843 8.8843 8.8843 Å, 90.00 90.00 90.00°
With the nearest neighbours (Å) after each atom.
Space group F-43m (No. 216)
One atom of each set of equivalent atoms:
Li1 0.0000 0.0000 0.0000 (multiplicity 4)  12 Sn 3.68, 4 Pb 3.85
Sn1 0.1251 0.1251 0.6251 (multiplicity 16)  6 Sn 3.14
Pb1 0.2500 0.2500 0.2500 (multiplicity 4)  12 Sn 3.68, 4 Li 3.85

Results
The density of states at the Fermi level comes out at 27.206 states/eV per cell. As for the total DFT energy (no corrections): -85.3 eV for the cell shown. The value obtained for the energy of formation is 0.053 eV per atom. Its theoretical density is 6526 kg/m³. The energy relative to the lowest polymorph listed for this composition is 0.112 eV/atom.

***

Here is Li5SnPb6 after structural relaxation from Alexandria via LeMat-Bulk. Energies are from PBE-GGA.

Cell: 5.0791 7.5992 15.0879 Å, 90.00 90.00 90.00°
With the nearest neighbours (Å) after each atom.
Space group Immm (No. 71)
One atom of each set of equivalent atoms:
Li1 0.0000 0.0000 0.0000 (multiplicity 2)  8 Pb 3.05-3.15
Li2 0.0000 0.0000 0.3486 (multiplicity 4)  8 Pb 3.11-3.26, 2 Sn 3.42
Li3 0.0000 0.5000 0.3268 (multiplicity 4)  8 Pb 3.08-3.11
Sn1 0.0000 0.5000 0.0000 (multiplicity 2)  8 Pb 3.30, 4 Li 3.42
Pb1 0.0000 0.2333 0.1727 (multiplicity 8)  7 Li 3.08-3.26, 1 Sn 3.30
Pb2 0.0000 0.2780 0.5000 (multiplicity 4)  6 Li 3.05-3.11, 2 Sn 3.30, 1 Pb 3.37

Results
The density of states at the Fermi level comes out at 8.534 states/eV per cell. As for the total DFT energy (no corrections): -76.6 eV for the cell shown. The value obtained for the energy of formation is -0.207 eV per atom. Its theoretical density is 7965 kg/m³.

***

Here is Li3Sn2Pb after structural relaxation from Alexandria via LeMat-Bulk. Energies are from PBE-GGA.

Cell: 4.8518 14.5779 3.5966 Å, 90.00 90.00 90.00°
With the nearest neighbours (Å) after each atom.
Space group Pmmn (No. 59, origin choice 2)
One atom of each set of equivalent atoms:
Li1 0.2500 0.0797 0.9996 (multiplicity 4)  6 Sn 2.97-3.02, 2 Pb 3.06-3.07
Li2 0.2500 0.7500 0.0010 (multiplicity 2)  4 Pb 3.02, 4 Sn 3.03-3.04
Sn1 0.2500 0.5822 0.5004 (multiplicity 4)  8 Li 2.97-3.04
Pb1 0.2500 0.2500 0.4989 (multiplicity 2)  8 Li 3.02-3.07

Results
The density of states at the Fermi level comes out at 2.159 states/eV per cell. As for the total DFT energy (no corrections): -38.5 eV for the cell shown. The value obtained for the energy of formation is -0.297 eV per atom. Its theoretical density is 6077 kg/m³.

***

Here is LiSnPb6 after structural relaxation from Alexandria via LeMat-Bulk. Energies are from PBE-GGA.

Cell: 6.9968 11.5178 5.9589 Å, 90.00 90.00 90.00°
With the nearest neighbours (Å) after each atom.
Space group Cmmm (No. 65)
One atom of each set of equivalent atoms:
Li1 0.0000 0.0000 0.0000 (multiplicity 2)  8 Pb 3.37-3.50, 2 Sn 3.50
Sn1 0.0000 0.5000 0.0000 (multiplicity 2)  8 Pb 3.37-3.41, 2 Li 3.50
Pb1 0.0000 0.2431 0.5000 (multiplicity 4)  10 Pb 3.35-3.50
Pb2 0.2382 0.5000 0.5000 (multiplicity 4)  6 Pb 3.33-3.66, 2 Sn 3.41, 2 Li 3.50
Pb3 0.2500 0.2500 0.0000 (multiplicity 4)  2 Li 3.37, 2 Sn 3.37, 6 Pb 3.46-3.50

Results
The density of states at the Fermi level comes out at 7.215 states/eV per cell. As for the total DFT energy (no corrections): -56.5 eV for the cell shown. The value obtained for the energy of formation is -0.008 eV per atom. Its theoretical density is 9467 kg/m³. The energy relative to the lowest polymorph listed for this composition is 0.000 eV/atom.

***

Here is Li7SnPb2 after structural relaxation from Alexandria via LeMat-Bulk. Energies are from PBE-GGA.

Cell: 4.6921 4.6921 10.7764 Å, 90.00 90.00 120.00°
With the nearest neighbours (Å) after each atom.
Space group P3m1 (No. 156)
One atom of each set of equivalent atoms:
Li1 0.0000 0.0000 0.0000 (multiplicity 1)  2 Li 2.61-2.74, 3 Sn 2.89
Li2 0.0000 0.0000 0.2422 (multiplicity 1)  4 Li 2.61-2.85, 1 Pb 2.73
Li3 0.0000 0.0000 0.7458 (multiplicity 1)  1 Pb 2.69, 4 Li 2.74-2.95
Li4 0.3333 0.6667 0.3723 (multiplicity 1)  4 Li 2.85-3.05, 1 Sn 3.02, 3 Pb 3.02
Li5 0.3333 0.6667 0.6364 (multiplicity 1)  7 Li 2.85-2.95, 3 Pb 3.10
Li6 0.6667 0.3333 0.1589 (multiplicity 1)  3 Sn 2.80, 3 Li 2.85, 1 Pb 3.07
Li7 0.6667 0.3333 0.5342 (multiplicity 1)  3 Pb 2.74, 3 Li 2.92
Sn1 0.3333 0.6667 0.0923 (multiplicity 1)  7 Li 2.80-3.02
Pb1 0.0000 0.0000 0.4957 (multiplicity 1)  8 Li 2.69-3.02
Pb2 0.6667 0.3333 0.8736 (multiplicity 1)  7 Li 3.03-3.07

Results
The density of states at the Fermi level comes out at 2.900 states/eV per cell. As for the total DFT energy (no corrections): -27.0 eV for the cell shown. The value obtained for the energy of formation is -0.220 eV per atom. Its theoretical density is 4701 kg/m³.

***

Here is Li2SnPb5 after structural relaxation from Alexandria via LeMat-Bulk. Energies are from PBE-GGA.

Cell: 9.3373 9.6742 6.7783 Å, 90.00 133.46 90.00°
With the nearest neighbours (Å) after each atom.
Space group C2/m (No. 12)
One atom of each set of equivalent atoms:
Li1 0.2500 0.2500 0.0000 (multiplicity 4)  10 Pb 3.36-3.45, 2 Sn 3.45
Sn1 0.0000 0.0000 0.5000 (multiplicity 2)  8 Pb 3.36-3.39, 4 Li 3.45
Pb1 0.0000 0.0000 0.0000 (multiplicity 2)  4 Li 3.36, 2 Sn 3.39, 6 Pb 3.39-3.45
Pb2 0.0000 0.5000 0.0000 (multiplicity 2)  4 Li 3.36, 6 Pb 3.39-3.45, 2 Sn 3.39
Pb3 0.0000 0.5000 0.5000 (multiplicity 2)  8 Pb 3.36-3.39, 4 Li 3.45
Pb4 0.2500 0.2500 0.5000 (multiplicity 4)  6 Pb 3.36-3.45, 2 Sn 3.36, 4 Li 3.39

Results
The density of states at the Fermi level comes out at 7.076 states/eV per cell. As for the total DFT energy (no corrections): -54.6 eV for the cell shown. The value obtained for the energy of formation is -0.118 eV per atom. Its theoretical density is 8732 kg/m³.

***

Here is Li3SnPb after structural relaxation from Alexandria via LeMat-Bulk. Energies are from PBE-GGA.

Cell: 5.9687 4.8525 7.9639 Å, 90.00 90.04 90.00°
With the nearest neighbours (Å) after each atom.
Space group P2_1/m (No. 11)
One atom of each set of equivalent atoms:
Li1 0.0128 0.2500 0.0857 (multiplicity 2)  3 Li 2.62-2.79
Li2 0.0130 0.2500 0.4144 (multiplicity 2)  3 Li 2.62-2.79
Li3 0.4672 0.7500 0.7501 (multiplicity 2)  2 Sn 2.85, 2 Pb 2.89, 2 Li 3.15
Sn1 0.2169 0.2500 0.7503 (multiplicity 2)  8 Li 2.85-3.08, 2 Pb 2.90-3.06
Pb1 0.2696 0.7500 0.2503 (multiplicity 2)  8 Li 2.89-3.16, 2 Sn 2.90-3.06

Results
The density of states at the Fermi level comes out at 2.144 states/eV per cell. As for the total DFT energy (no corrections): -28.8 eV for the cell shown. The value obtained for the energy of formation is -0.186 eV per atom. Its theoretical density is 4992 kg/m³. The energy relative to the lowest polymorph listed for this composition is 0.093 eV/atom.

***

Here is Li3SnPb after structural relaxation from Alexandria via LeMat-Bulk. Energies are from PBE-GGA.

Cell: 5.0752 5.0752 5.0752 Å, 90.00 90.00 90.00°
With the nearest neighbours (Å) after each atom.
Space group Pm-3m (No. 221)
One atom of each set of equivalent atoms:
Li1 0.0000 0.0000 0.5000 (multiplicity 3)  2 Sn 2.54
Sn1 0.0000 0.0000 0.0000 (multiplicity 1)  6 Li 2.54
Pb1 0.5000 0.5000 0.5000 (multiplicity 1)  12 Li 3.59

Results
The density of states at the Fermi level comes out at 2.764 states/eV per cell. As for the total DFT energy (no corrections): -13.2 eV for the cell shown. The value obtained for the energy of formation is 0.041 eV per atom. Its theoretical density is 4404 kg/m³. The energy relative to the lowest polymorph listed for this composition is 0.321 eV/atom.

***

Question: The highest energy of formation belongs to which entry?
Answer: LiSn4Pb